This record from the Alexandria database describes crystalline Tl2HgF at its relaxed geometry. The functional is GGA-PBE.

Density of states at the Fermi level ... 0.438 states/eV per atom
Formation energy without anion corrections ... -0.665 eV/atom
E ... -0.088 Ha/atom

Structure (CIF):
```
data_Tl2HgF
_chemical_formula_sum 'Tl8 Hg4 F4'
_cell_length_a 7.3720
_cell_length_b 7.3720
_cell_length_c 7.3720
_cell_angle_alpha 90.00
_cell_angle_beta 90.00
_cell_angle_gamma 90.00
_symmetry_space_group_name_H-M 'F m -3 m'
_symmetry_Int_Tables_number 225
_symmetry_space_group_name_Hall '-F 4 2 3'
loop_
_atom_site_label
_atom_site_type_symbol
_atom_site_fract_x
_atom_site_fract_y
_atom_site_fract_z
Tl1 Tl 0.2500 0.2500 0.2500
Hg1 Hg 0.0000 0.0000 0.0000
F1 F 0.0000 0.0000 0.5000
```

---

This record from the Alexandria database describes crystalline Ce2SnBRh6 at its relaxed geometry. The functional is GGA-PBE.

Density of states at the Fermi level ... 0.744 states/eV per atom
Formation energy from the elements ... -58.8 kJ per mole of atoms
E ... -0.267 Ha/atom

Structure (CIF):
```
data_Ce2SnBRh6
_chemical_formula_sum 'Ce4 Sn2 B2 Rh12'
_cell_length_a 9.7673
_cell_length_b 5.7693
_cell_length_c 6.9425
_cell_angle_alpha 90.00
_cell_angle_beta 114.11
_cell_angle_gamma 90.00
_symmetry_space_group_name_H-M 'C 1 2/m 1'
_symmetry_Int_Tables_number 12
_symmetry_space_group_name_Hall '-C 2y'
loop_
_atom_site_label
_atom_site_type_symbol
_atom_site_fract_x
_atom_site_fract_y
_atom_site_fract_z
Ce1 Ce 0.2453 0.0000 0.2887
Sn1 Sn 0.0000 0.0000 0.5000
B1 B 0.0000 0.5000 0.0000
Rh1 Rh 0.0718 0.2414 0.8552
Rh2 Rh 0.2111 0.5000 0.2470
```

---

This record from the Alexandria database describes crystalline Ag3ICl4 at its relaxed geometry. The functional is GGA-PBE.

Formation energy without anion corrections ... -0.309 eV/atom
E ... -0.092 Ha/atom

Structure (CIF):
```
data_Ag3ICl4
_chemical_formula_sum 'Ag6 I2 Cl8'
_cell_length_a 8.6895
_cell_length_b 7.9189
_cell_length_c 7.0464
_cell_angle_alpha 90.00
_cell_angle_beta 90.00
_cell_angle_gamma 90.00
_symmetry_space_group_name_H-M 'P m n 21'
_symmetry_Int_Tables_number 31
_symmetry_space_group_name_Hall 'P 2ac -2'
loop_
_atom_site_label
_atom_site_type_symbol
_atom_site_fract_x
_atom_site_fract_y
_atom_site_fract_z
Ag1 Ag 0.0000 0.1528 0.0000
Ag2 Ag 0.2377 0.7041 0.0949
I1 I 0.0000 0.6471 0.6700
Cl1 Cl 0.0000 0.1592 0.6424
Cl2 Cl 0.0000 0.8742 0.1771
Cl3 Cl 0.2021 0.3707 0.1757
```

---

This record from the Alexandria database describes crystalline Er3InTe2 at its relaxed geometry. The functional is GGA-PBE.

Density of states at the Fermi level ... 0.178 states/eV per atom
Formation energy without anion corrections ... -0.972 eV/atom
E ... -0.175 Ha/atom

Structure (CIF):
```
data_Er3InTe2
_chemical_formula_sum 'Er6 In2 Te4'
_cell_length_a 4.1931
_cell_length_b 6.1439
_cell_length_c 13.4640
_cell_angle_alpha 90.00
_cell_angle_beta 90.00
_cell_angle_gamma 90.00
_symmetry_space_group_name_H-M 'I m m m'
_symmetry_Int_Tables_number 71
_symmetry_space_group_name_Hall '-I 2 2'
loop_
_atom_site_label
_atom_site_type_symbol
_atom_site_fract_x
_atom_site_fract_y
_atom_site_fract_z
Er1 Er 0.0000 0.0000 0.0000
Er2 Er 0.0000 0.0000 0.3364
In1 In 0.0000 0.5000 0.0000
Te1 Te 0.0000 0.5000 0.3308
```

---

This record from the Alexandria database describes crystalline MnAlBr2 at its relaxed geometry. The functional is GGA-PBE.

Density of states at the Fermi level ... 0.429 states/eV per atom
Formation energy without anion corrections ... -0.156 eV/atom
E ... -0.155 Ha/atom

Structure (CIF):
```
data_MnAlBr2
_chemical_formula_sum 'Mn1 Al1 Br2'
_cell_length_a 3.3114
_cell_length_b 3.3114
_cell_length_c 8.7226
_cell_angle_alpha 90.00
_cell_angle_beta 90.00
_cell_angle_gamma 90.00
_symmetry_space_group_name_H-M 'P 4 m m'
_symmetry_Int_Tables_number 99
_symmetry_space_group_name_Hall 'P 4 -2'
loop_
_atom_site_label
_atom_site_type_symbol
_atom_site_fract_x
_atom_site_fract_y
_atom_site_fract_z
Mn1 Mn 0.0000 0.0000 0.0000
Al1 Al 0.5000 0.5000 0.1912
Br1 Br 0.0000 0.0000 0.3857
Br2 Br 0.5000 0.5000 0.8237
```

---

This record from the Alexandria database describes crystalline Pr6YHo2 at its relaxed geometry. The functional is GGA-PBE.

Density of states at the Fermi level ... 1.407 states/eV per atom
Formation energy from the elements ... 12.2 kJ per mole of atoms
E ... -0.176 Ha/atom

Structure (CIF):
```
data_Pr6YHo2
_chemical_formula_sum 'Pr12 Y2 Ho4'
_cell_length_a 9.4954
_cell_length_b 17.8775
_cell_length_c 3.6932
_cell_angle_alpha 90.00
_cell_angle_beta 90.00
_cell_angle_gamma 90.00
_symmetry_space_group_name_H-M 'C m m m'
_symmetry_Int_Tables_number 65
_symmetry_space_group_name_Hall '-C 2 2'
loop_
_atom_site_label
_atom_site_type_symbol
_atom_site_fract_x
_atom_site_fract_y
_atom_site_fract_z
Pr1 Pr 0.1756 0.1655 0.0000
Pr2 Pr 0.1827 0.0000 0.5000
Y1 Y 0.0000 0.5000 0.0000
Ho1 Ho 0.0000 0.3236 0.5000
```

---

This record from the Alexandria database describes crystalline Tb6Nd3Y2 at its relaxed geometry. The functional is GGA-PBE.

Density of states at the Fermi level ... 1.524 states/eV per atom
Formation energy from the elements ... 26.4 kJ per mole of atoms
E ... -0.174 Ha/atom

Structure (CIF):
```
data_Tb6Nd3Y2
_chemical_formula_sum 'Tb12 Nd6 Y4'
_cell_length_a 4.7785
_cell_length_b 4.7785
_cell_length_c 33.5673
_cell_angle_alpha 90.00
_cell_angle_beta 90.00
_cell_angle_gamma 90.00
_symmetry_space_group_name_H-M 'I 4/m m m'
_symmetry_Int_Tables_number 139
_symmetry_space_group_name_Hall '-I 4 2'
loop_
_atom_site_label
_atom_site_type_symbol
_atom_site_fract_x
_atom_site_fract_y
_atom_site_fract_z
Tb1 Tb 0.0000 0.0000 0.1945
Tb2 Tb 0.0000 0.5000 0.1211
Nd1 Nd 0.0000 0.0000 0.2973
Nd2 Nd 0.0000 0.0000 0.5000
Y1 Y 0.0000 0.0000 0.0462
```

---

This record from the Alexandria database describes crystalline PrHf2P4 at its relaxed geometry. The functional is GGA-PBE.

Density of states at the Fermi level ... 0.343 states/eV per atom
Formation energy from the elements ... -99.2 kJ per mole of atoms
E ... -0.281 Ha/atom

Structure (CIF):
```
data_PrHf2P4
_chemical_formula_sum 'Pr4 Hf8 P16'
_cell_length_a 3.8186
_cell_length_b 12.4870
_cell_length_c 12.3727
_cell_angle_alpha 90.00
_cell_angle_beta 90.00
_cell_angle_gamma 90.00
_symmetry_space_group_name_H-M 'C m c m'
_symmetry_Int_Tables_number 63
_symmetry_space_group_name_Hall '-C 2c 2'
loop_
_atom_site_label
_atom_site_type_symbol
_atom_site_fract_x
_atom_site_fract_y
_atom_site_fract_z
Pr1 Pr 0.0000 0.1058 0.2500
Hf1 Hf 0.0000 0.3655 0.0559
P1 P 0.0000 0.0000 0.0000
P2 P 0.0000 0.2599 0.6256
P3 P 0.0000 0.4304 0.2500
```

---

This record from the Alexandria database describes crystalline V2FeMoAu at its relaxed geometry. The functional is GGA-PBE.

Density of states at the Fermi level ... 2.658 states/eV per atom
Formation energy from the elements ... 197.4 kJ per mole of atoms
E ... -0.225 Ha/atom

Structure (CIF):
```
data_V2FeMoAu
_chemical_formula_sum 'V2 Fe1 Mo1 Au1'
_cell_length_a 4.6089
_cell_length_b 4.6089
_cell_length_c 4.5188
_cell_angle_alpha 90.00
_cell_angle_beta 90.00
_cell_angle_gamma 90.00
_symmetry_space_group_name_H-M 'P 4/m m m'
_symmetry_Int_Tables_number 123
_symmetry_space_group_name_Hall '-P 4 2'
loop_
_atom_site_label
_atom_site_type_symbol
_atom_site_fract_x
_atom_site_fract_y
_atom_site_fract_z
V1 V 0.0000 0.5000 0.0000
Fe1 Fe 0.0000 0.0000 0.5000
Mo1 Mo 0.5000 0.5000 0.5000
Au1 Au 0.0000 0.0000 0.0000
```

---

This record from the Alexandria database describes crystalline Ta2HgPb at its relaxed geometry. The functional is GGA-PBE.

Density of states at the Fermi level ... 0.617 states/eV per atom
Formation energy from the elements ... 47.9 kJ per mole of atoms
E ... -0.236 Ha/atom

Structure (CIF):
```
data_Ta2HgPb
_chemical_formula_sum 'Ta4 Hg2 Pb2'
_cell_length_a 10.0271
_cell_length_b 3.1465
_cell_length_c 5.3348
_cell_angle_alpha 90.00
_cell_angle_beta 100.88
_cell_angle_gamma 90.00
_symmetry_space_group_name_H-M 'C 1 2/m 1'
_symmetry_Int_Tables_number 12
_symmetry_space_group_name_Hall '-C 2y'
loop_
_atom_site_label
_atom_site_type_symbol
_atom_site_fract_x
_atom_site_fract_y
_atom_site_fract_z
Ta1 Ta 0.2496 0.0000 0.2288
Hg1 Hg 0.0000 0.5000 0.0000
Pb1 Pb 0.0000 0.0000 0.5000
```

---

This record from the Alexandria database describes crystalline SiAs2Au at its relaxed geometry. The functional is GGA-PBE.

Density of states at the Fermi level ... 0.569 states/eV per atom
Formation energy without anion corrections ... 0.462 eV/atom
E ... -0.148 Ha/atom

Structure (CIF):
```
data_SiAs2Au
_chemical_formula_sum 'Si4 As8 Au4'
_cell_length_a 6.6495
_cell_length_b 6.6495
_cell_length_c 6.6495
_cell_angle_alpha 90.00
_cell_angle_beta 90.00
_cell_angle_gamma 90.00
_symmetry_space_group_name_H-M 'F -4 3 m'
_symmetry_Int_Tables_number 216
_symmetry_space_group_name_Hall 'F -4 2 3'
loop_
_atom_site_label
_atom_site_type_symbol
_atom_site_fract_x
_atom_site_fract_y
_atom_site_fract_z
Si1 Si 0.0000 0.0000 0.0000
As1 As 0.0000 0.0000 0.5000
As2 As 0.2500 0.2500 0.2500
Au1 Au 0.2500 0.2500 0.7500
```

---

This record from the Alexandria database describes crystalline Tb3Pm6Pr2Dy at its relaxed geometry. The functional is GGA-PBE.

Density of states at the Fermi level ... 1.377 states/eV per atom
Formation energy from the elements ... 1.4 kJ per mole of atoms
E ... -0.173 Ha/atom

Structure (CIF):
```
data_Tb3Pm6Pr2Dy
_chemical_formula_sum 'Tb6 Pm12 Pr4 Dy2'
_cell_length_a 6.2911
_cell_length_b 10.8945
_cell_length_c 12.0276
_cell_angle_alpha 90.00
_cell_angle_beta 100.05
_cell_angle_gamma 90.00
_symmetry_space_group_name_H-M 'C 1 2/m 1'
_symmetry_Int_Tables_number 12
_symmetry_space_group_name_Hall '-C 2y'
loop_
_atom_site_label
_atom_site_type_symbol
_atom_site_fract_x
_atom_site_fract_y
_atom_site_fract_z
Tb1 Tb 0.0000 0.0000 0.0000
Tb2 Tb 0.0000 0.3336 0.0000
Pm1 Pm 0.2481 0.5000 0.2469
Pm2 Pm 0.2499 0.1660 0.2473
Pr1 Pr 0.0000 0.1666 0.5000
Dy1 Dy 0.0000 0.5000 0.5000
```